[1]
The following is a PBE calculation of a relaxed GaTcSbTe2 crystal, from the Alexandria database.

Results
spin magnetization	0.724	μB per atom
energy	-3.628	eV/atom
Fermi-level density of states	0.86	states/eV per atom

The structure in POSCAR format:
```
GaTcSbTe2
1.0
5.3867 0.0000 0.0000
0.0000 5.3867 0.0000
0.0000 0.0000 5.1703
Te Tc Ga Sb
2 1 1 1
Direct
0.5000 0.0000 0.0000
0.0000 0.5000 0.0000
0.5000 0.5000 0.5000
0.0000 0.0000 0.0000
0.0000 0.0000 0.5000
```

[2]
The following is a PBE calculation of a relaxed Cs4HAu crystal, from the Alexandria database.

Results
spin magnetization	0.002	μB per atom
energy	-1.813	eV/atom
Fermi-level density of states	0.75	states/eV per atom

The structure in POSCAR format:
```
Cs4HAu
1.0
4.9722 0.0000 0.0000
0.0000 8.9620 0.3733
0.0000 -3.0028 8.1654
Cs H Au
4 1 1
Direct
0.5000 0.7128 0.7171
0.5000 0.2872 0.2829
0.0000 0.7305 0.2609
0.0000 0.2695 0.7391
0.0000 0.5000 0.5000
0.5000 0.5000 0.0000
```

[3]
The following is a PBE calculation of a relaxed TaMnRh2 crystal, from the Alexandria database.

Results
spin magnetization	0.804	μB per atom
Fermi-level density of states	1.21	states/eV per atom
ΔH_f (0 K)	-184	meV/atom

The structure in POSCAR format:
```
TaMnRh2
1.0
4.6623 -0.0273 0.0034
3.8204 2.6725 0.0034
0.8273 0.2580 4.7647
Rh Mn Ta
2 1 1
Direct
0.5026 0.5026 0.4911
0.9974 0.9974 0.0089
0.2500 0.2500 0.2500
0.7500 0.7500 0.7500
```

[4]
The following is a PBE calculation of a relaxed AsIr2Cl crystal, from the Alexandria database.

Results
spin magnetization	0.000	μB per atom
energy	-5.457	eV/atom
Fermi-level density of states	0.97	states/eV per atom

The structure in POSCAR format:
```
AsIr2Cl
1.0
-1.9191 -4.1074 3.8827
0.4617 -4.2006 -4.2155
3.6150 -4.9675 1.1199
Cl Ir As
2 4 2
Direct
0.5000 0.5000 0.0000
0.2500 0.7500 0.5000
0.1118 0.6250 0.2500
0.3750 0.3618 0.7500
0.6382 0.1250 0.2500
0.8750 0.8882 0.7500
0.0000 0.0000 0.0000
0.7500 0.2500 0.5000
```